[1]
The following is a PBE calculation of a geometry-optimized Cu3O3F structure, from the Alexandria database.

Calculated values
M_tot   0.00 μB per formula unit
E_form (uncorrected)   -0.68 eV per atom

Unit cell a=5.4816 b=5.2291 c=6.1182 alpha=104.53 beta=114.87 gamma=88.28
Atoms (fractional coordinates):
O  0.3091  0.2509  0.2716
O  0.9337  0.8857  0.2702
O  0.5930  0.2497  0.7667
O  0.4070  0.7503  0.2333
O  0.6909  0.7491  0.7284
O  0.0663  0.1143  0.7298
F  0.1696  0.6218  0.7373
F  0.8304  0.3782  0.2627
Cu  0.8644  0.4311  0.7410
Cu  0.7442  0.0456  0.9970
Cu  0.2558  0.9544  0.0030
Cu  0.1356  0.5689  0.2590
Cu  0.7566  0.8574  0.4817
Cu  0.2434  0.1426  0.5183



[2]
The following is a PBE calculation of a geometry-optimized Cu3OF2 structure, from the Alexandria database.

Calculated values
M_tot   0.76 μB per formula unit
E_form (uncorrected)   -0.85 eV per atom

Unit cell a=2.9480 b=4.5363 c=5.9592 alpha=112.37 beta=104.32 gamma=90.00
Last column: magnetic moment on the atom in μB.
Atoms (fractional coordinates):
Cu  0.0000  0.9345  0.0000  0.19
Cu  0.6204  0.6369  0.2408  0.19
Cu  0.3796  0.3961  0.7592  0.19
O  0.5000  0.2107  0.0000  0.15
F  0.2064  0.9887  0.4127  0.02
F  0.7936  0.5760  0.5873  0.02



[3]
The following is a PBE calculation of a geometry-optimized Cu4O3F2 structure, from the Alexandria database.

Calculated values
M_tot   0.00 μB per formula unit
E_form (uncorrected)   -0.82 eV per atom

Unit cell a=3.7536 b=5.2603 c=6.4409 alpha=90.95 beta=67.37 gamma=91.39
Atoms (fractional coordinates):
O  0.0000  0.5000  0.5000
O  0.3413  0.4637  0.8496
O  0.6587  0.5363  0.1504
F  0.8247  0.0320  0.3273
F  0.1753  0.9680  0.6727
Cu  0.8626  0.5555  0.8241
Cu  0.5821  0.2435  0.5978
Cu  0.4179  0.7565  0.4022
Cu  0.1374  0.4445  0.1759



[4]
The following is a PBE calculation of a geometry-optimized Cu4O5F structure, from the Alexandria database.

Calculated values
M_tot   0.00 μB per formula unit
E_form (uncorrected)   -0.49 eV per atom

Unit cell a=4.8097 b=5.9979 c=7.2094 alpha=90.00 beta=90.00 gamma=90.00
Atoms (fractional coordinates):
Cu  0.0085  0.0000  0.2598
Cu  0.9915  0.5000  0.7598
Cu  0.5009  0.7351  0.0000
Cu  0.9915  0.5000  0.2402
Cu  0.4991  0.2351  0.5000
Cu  0.0085  0.0000  0.7402
Cu  0.4991  0.7649  0.5000
Cu  0.5009  0.2649  0.0000
O  0.7582  0.2488  0.3072
O  0.7825  0.5000  0.0000
O  0.2418  0.7488  0.1928
O  0.2175  0.0000  0.5000
O  0.2418  0.7488  0.8072
O  0.7582  0.2488  0.6928
O  0.2418  0.2512  0.8072
O  0.2418  0.2512  0.1928
O  0.7582  0.7512  0.3072
O  0.7582  0.7512  0.6928
F  0.7984  0.0000  0.0000
F  0.2016  0.5000  0.5000



[5]
The following is a PBE calculation of a geometry-optimized Cu2OF3 structure, from the Alexandria database.

Calculated values
M_tot   1.04 μB per formula unit
E_form (uncorrected)   -1.17 eV per atom

Unit cell a=4.5627 b=6.3421 c=6.4684 alpha=121.04 beta=92.66 gamma=88.63
Last column: magnetic moment on the atom in μB.
Atoms (fractional coordinates):
F  0.2523  0.9489  0.2679  0.01
F  0.7477  0.0511  0.7321  0.01
F  0.2289  0.2753  0.0432  0.10
F  0.7711  0.7247  0.9568  0.10
F  0.2280  0.7674  0.7288  0.10
F  0.7720  0.2326  0.2712  0.10
O  0.9194  0.6638  0.3303  0.16
O  0.0806  0.3362  0.6697  0.16
Cu  0.0000  0.0000  0.5000  0.06
Cu  0.0000  0.0000  0.0000  0.71
Cu  0.0000  0.5000  0.0000  0.24
Cu  0.0000  0.5000  0.5000  0.26



[6]
The following is a PBE calculation of a geometry-optimized CuOF2 structure, from the Alexandria database.

Calculated values
M_tot   3.00 μB per formula unit
E_form (uncorrected)   -0.21 eV per atom
E above lowest polymorph   0.857 eV/atom

Unit cell a=4.9418 b=4.9418 c=6.2416 alpha=66.68 beta=66.68 gamma=90.00
Last column: magnetic moment on the atom in μB.
Atoms (fractional coordinates):
Cu  0.7500  0.2500  0.5000  0.66
Cu  0.0000  0.0000  0.0000  0.66
F  0.7321  0.1250  0.2500  0.20
F  0.0179  0.6250  0.2500  0.21
F  0.8750  0.9821  0.7500  0.20
F  0.3750  0.2679  0.7500  0.19
O  0.5000  0.5000  0.0000  1.56
O  0.2500  0.7500  0.5000  1.56



[7]
The following is a PBE calculation of a geometry-optimized Cu5O5F structure, from the Alexandria database.

Calculated values
M_tot   0.00 μB per formula unit
E_form (uncorrected)   -0.50 eV per atom

Unit cell a=5.5839 b=5.1188 c=5.6505 alpha=103.64 beta=90.00 gamma=123.05
Atoms (fractional coordinates):
O  0.3148  0.6296  0.1220
O  0.0000  0.0000  0.5000
O  0.3374  0.6747  0.6874
O  0.6626  0.3253  0.3126
O  0.6852  0.3704  0.8780
Cu  0.2007  0.4015  0.3617
Cu  0.5000  0.0000  0.0000
Cu  0.8391  0.6782  0.1866
Cu  0.1609  0.3218  0.8134
Cu  0.7993  0.5985  0.6383
F  0.0000  0.0000  0.0000



[8]
The following is a PBE calculation of a geometry-optimized CuOF2 structure, from the Alexandria database.

Calculated values
M_tot   2.01 μB per formula unit
E_form (uncorrected)   -1.07 eV per atom
E above lowest polymorph   0.000 eV/atom

Unit cell a=2.9337 b=4.5435 c=10.4667 alpha=62.06 beta=90.00 gamma=108.84
Last column: magnetic moment on the atom in μB.
Atoms (fractional coordinates):
F  0.0416  0.0832  0.2468  0.16
F  0.7073  0.4146  0.4065  0.14
F  0.2927  0.5854  0.5935  0.14
F  0.9584  0.9168  0.7532  0.16
Cu  0.6226  0.2452  0.6724  0.72
Cu  0.3774  0.7548  0.3276  0.72
O  0.4219  0.8437  0.0511  0.79
O  0.5781  0.1563  0.9489  0.79



[9]
The following is a PBE calculation of a geometry-optimized CuOsO2F structure, from the Alexandria database.

Calculated values
M_tot   4.70 μB per formula unit
E_form (uncorrected)   0.43 eV per atom

Unit cell a=3.8642 b=3.8642 c=3.8296 alpha=90.00 beta=90.00 gamma=90.00
Last column: magnetic moment on the atom in μB.
Atoms (fractional coordinates):
O  0.0000  0.5000  0.0000  0.27
O  0.5000  0.0000  0.0000  0.27
Cu  0.0000  0.0000  0.0000  0.07
Os  0.5000  0.5000  0.5000  3.65
F  0.0000  0.0000  0.5000  0.09



[10]
The following is a PBE calculation of a geometry-optimized CuOsO4F structure, from the Alexandria database.

Calculated values
M_tot   0.00 μB per formula unit
E_form (uncorrected)   -0.99 eV per atom

Unit cell a=5.1799 b=5.1799 c=7.9305 alpha=79.38 beta=79.38 gamma=84.41
Atoms (fractional coordinates):
O  0.4527  0.4527  0.6872
O  0.1928  0.1928  0.4844
O  0.4393  0.8848  0.8357
O  0.1152  0.5607  0.1643
O  0.5607  0.1152  0.1643
O  0.5473  0.5473  0.3128
O  0.8072  0.8072  0.5156
O  0.8848  0.4393  0.8357
F  0.0769  0.0769  0.2005
F  0.9231  0.9231  0.7995
Os  0.3307  0.3307  0.2712
Os  0.6693  0.6693  0.7288
Cu  0.8096  0.8096  0.2415
Cu  0.1904  0.1904  0.7585



[11]
The following is a PBE calculation of a geometry-optimized CuOsO2F structure, from the Alexandria database.

Calculated values
M_tot   0.00 μB per formula unit
E_form (uncorrected)   -0.48 eV per atom

Unit cell a=3.6853 b=3.6853 c=5.3704 alpha=90.00 beta=90.00 gamma=90.00
Atoms (fractional coordinates):
O  0.0000  0.5000  0.0000
O  0.5000  0.0000  0.0000
Cu  0.5000  0.5000  0.5000
F  0.0000  0.0000  0.5000
Os  0.0000  0.0000  0.0000



[12]
The following is a PBE calculation of a geometry-optimized CuP2OF structure, from the Alexandria database.

Calculated values
M_tot   0.00 μB per formula unit
E_form (uncorrected)   0.48 eV per atom
E above lowest polymorph   0.000 eV/atom

Unit cell a=4.4784 b=4.4784 c=3.6957 alpha=90.00 beta=90.00 gamma=90.00
Atoms (fractional coordinates):
O  0.0000  0.0000  0.5000
P  0.0000  0.5000  0.0000
P  0.5000  0.0000  0.0000
Cu  0.0000  0.0000  0.0000
F  0.5000  0.5000  0.5000



[13]
The following is a PBE calculation of a geometry-optimized CuPOF2 structure, from the Alexandria database.

Calculated values
M_tot   0.00 μB per formula unit
E_form (uncorrected)   -0.76 eV per atom
E above lowest polymorph   0.000 eV/atom

Unit cell a=4.2285 b=4.2285 c=3.5297 alpha=90.00 beta=90.00 gamma=90.00
Atoms (fractional coordinates):
O  0.0000  0.0000  0.5000
P  0.0000  0.0000  0.0000
Cu  0.5000  0.5000  0.5000
F  0.0000  0.5000  0.0000
F  0.5000  0.0000  0.0000



[14]
The following is a PBE calculation of a geometry-optimized CuP2O6F structure, from the Alexandria database.

Calculated values
M_tot   0.08 μB per formula unit
E_form (uncorrected)   -1.60 eV per atom

Unit cell a=4.9107 b=7.3826 c=7.3826 alpha=87.74 beta=73.12 gamma=73.12
Atoms (fractional coordinates):
P  0.6951  0.1956  0.3817
P  0.3049  0.8044  0.6183
P  0.1951  0.3817  0.1956
P  0.8049  0.6183  0.8044
Cu  0.2500  0.1880  0.8120
Cu  0.7500  0.8120  0.1880
O  0.2759  0.3601  0.9794
O  0.9394  0.4169  0.7300
O  0.5004  0.2966  0.2478
O  0.4996  0.7034  0.7522
O  0.7241  0.6399  0.0206
O  0.4394  0.7300  0.4169
O  0.5606  0.2700  0.5831
O  0.0606  0.5831  0.2700
O  0.2241  0.0206  0.6399
O  0.9996  0.7522  0.7034
O  0.0004  0.2478  0.2966
O  0.7759  0.9794  0.3601
F  0.7500  0.9854  0.0146
F  0.2500  0.0146  0.9854



[15]
The following is a PBE calculation of a geometry-optimized CuP2OF structure, from the Alexandria database.

Calculated values
M_tot   0.54 μB per formula unit
E_form (uncorrected)   0.87 eV per atom
E above lowest polymorph   0.390 eV/atom

Unit cell a=4.0204 b=4.0204 c=4.2907 alpha=90.00 beta=90.00 gamma=90.00
Last column: magnetic moment on the atom in μB.
Atoms (fractional coordinates):
Cu  0.5000  0.5000  0.5000  0.00
P  0.0000  0.5000  0.0000  0.01
P  0.5000  0.0000  0.0000  0.01
F  0.0000  0.0000  0.0000  -0.05
O  0.0000  0.0000  0.5000  -0.46



[16]
The following is a PBE calculation of a geometry-optimized CuPO4F structure, from the Alexandria database.

Calculated values
M_tot   0.01 μB per formula unit
E_form (uncorrected)   -1.27 eV per atom

Unit cell a=5.0811 b=5.1445 c=7.1633 alpha=108.40 beta=106.17 gamma=96.54
Last column: magnetic moment on the atom in μB.
Atoms (fractional coordinates):
O  0.3355  0.8195  0.5856  0.02
O  0.6924  0.8418  0.0659  -0.03
O  0.3076  0.1582  0.9341  -0.03
O  0.6430  0.6581  0.3281  0.01
O  0.6645  0.1805  0.4144  0.02
O  0.2331  0.7944  0.1270  -0.02
O  0.3570  0.3419  0.6719  0.01
O  0.7669  0.2056  0.8730  -0.02
F  0.1491  0.3097  0.2710  0.00
F  0.8509  0.6903  0.7290  0.00
Cu  0.5000  0.5000  0.5000  0.24
Cu  0.0000  0.0000  0.0000  -0.24
P  0.4434  0.1119  0.7601  0.00
P  0.5566  0.8881  0.2399  0.00



[17]
The following is a PBE calculation of a geometry-optimized CuPOF2 structure, from the Alexandria database.

Calculated values
M_tot   1.02 μB per formula unit
E_form (uncorrected)   -0.31 eV per atom
E above lowest polymorph   0.453 eV/atom

Unit cell a=3.8048 b=3.8048 c=4.1558 alpha=90.00 beta=90.00 gamma=90.00
Last column: magnetic moment on the atom in μB.
Atoms (fractional coordinates):
P  0.5000  0.5000  0.5000  0.56
Cu  0.0000  0.0000  0.0000  -0.07
O  0.0000  0.0000  0.5000  -0.08
F  0.0000  0.5000  0.0000  0.04
F  0.5000  0.0000  0.0000  0.04



[18]
The following is a PBE calculation of a geometry-optimized Rb2Cu3P4O12F4 structure, from the Alexandria database.

Calculated values
M_tot   3.04 μB per formula unit
E_form (uncorrected)   -1.96 eV per atom

Unit cell a=8.0108 b=9.3706 c=9.6398 alpha=90.00 beta=90.00 gamma=94.55
Last column: magnetic moment on the atom in μB.
Atoms (fractional coordinates):
P  0.3072  0.4800  0.3167  0.01
P  0.3072  0.9800  0.1833  0.01
P  0.1054  0.1072  0.6890  0.00
P  0.8946  0.8928  0.3110  0.00
P  0.1054  0.6072  0.8110  0.00
P  0.8946  0.3928  0.1890  0.00
P  0.6928  0.5200  0.6833  0.01
P  0.6928  0.0200  0.8167  0.01
O  0.2188  0.5561  0.4328  0.06
O  0.6848  0.1815  0.8328  0.07
O  0.7812  0.4439  0.5672  0.06
O  0.2188  0.0561  0.0672  0.06
O  0.9471  0.7938  0.4221  0.03
O  0.9637  0.8559  0.1644  0.13
O  0.0937  0.4457  0.8351  0.08
O  0.9063  0.5543  0.1649  0.08
O  0.9063  0.0543  0.3351  0.08
O  0.6848  0.6815  0.6672  0.07
O  0.3152  0.3185  0.3328  0.07
O  0.7393  0.9751  0.6693  0.08
O  0.3152  0.8185  0.1672  0.07
O  0.9471  0.2938  0.0779  0.03
O  0.7393  0.4751  0.8307  0.08
O  0.9637  0.3559  0.3356  0.13
O  0.7812  0.9439  0.9328  0.06
O  0.2607  0.0249  0.3307  0.08
O  0.0363  0.6441  0.6644  0.13
O  0.2607  0.5249  0.1693  0.08
O  0.0529  0.2062  0.5779  0.03
O  0.0529  0.7062  0.9221  0.03
O  0.0363  0.1441  0.8356  0.13
O  0.0937  0.9457  0.6649  0.08
Cu  0.8895  0.3152  0.8518  0.68
Cu  0.1105  0.1848  0.3518  0.68
Cu  0.0000  0.5000  0.5000  0.63
Cu  0.1105  0.6848  0.1482  0.68
Cu  0.0000  0.0000  0.0000  0.63
Cu  0.8895  0.8152  0.6482  0.68
F  0.5031  0.9560  0.8365  0.01
F  0.3057  0.6418  0.7953  0.01
F  0.5031  0.4560  0.6635  0.01
F  0.4969  0.0440  0.1635  0.01
F  0.4969  0.5440  0.3365  0.01
F  0.3057  0.1418  0.7047  0.01
F  0.6943  0.8582  0.2953  0.01
F  0.6943  0.3582  0.2047  0.01
Rb  0.6228  0.1892  0.4569  0.00
Rb  0.3772  0.3108  0.9569  0.00
Rb  0.3772  0.8108  0.5431  0.00
Rb  0.6228  0.6892  0.0431  0.00



[19]
The following is a PBE calculation of a geometry-optimized Pa3CuO8F3 structure, from the Alexandria database.

Calculated values
M_tot   2.72 μB per formula unit
E_form (uncorrected)   -2.56 eV per atom

Unit cell a=7.4472 b=7.8227 c=5.6275 alpha=136.01 beta=89.98 gamma=118.44
Last column: magnetic moment on the atom in μB.
Atoms (fractional coordinates):
O  0.2177  0.0001  0.2462  0.31
O  0.6910  0.3821  0.5951  0.05
O  0.3090  0.6181  0.8310  0.05
O  0.3090  0.6179  0.4049  0.05
O  0.7823  0.9999  0.7538  0.31
O  0.2181  0.9999  0.7539  0.31
O  0.6910  0.3819  0.1690  0.05
O  0.7819  0.0001  0.2461  0.31
Cu  0.0000  0.0000  0.5000  0.51
Pa  0.0000  0.5000  0.5000  -0.02
Pa  0.5000  0.5000  0.5000  -0.02
Pa  0.5000  0.0000  0.5000  0.06
F  0.0000  0.5000  0.0000  0.06
F  0.0000  0.0000  0.0000  0.39
F  0.5000  0.5000  0.0000  0.06



[20]
The following is a PBE calculation of a geometry-optimized CuPbOF2 structure, from the Alexandria database.

Calculated values
M_tot   0.00 μB per formula unit
E_form (uncorrected)   -0.85 eV per atom

Unit cell a=4.5716 b=4.5716 c=4.2720 alpha=90.00 beta=90.00 gamma=90.00
Atoms (fractional coordinates):
O  0.0000  0.0000  0.5000
Pb  0.0000  0.0000  0.0000
F  0.5000  0.0000  0.0000
F  0.0000  0.5000  0.0000
Cu  0.5000  0.5000  0.5000